The following is a DFT calculation (PBE) of crystalline InP at its relaxed geometry.

Lattice parameters (Å, degrees): 4.2081 4.2081 4.2081 60.00 60.00 60.00
Element x y z (fractional)
In (0.0000, 0.0000, 0.0000)
P (0.7500, 0.7500, 0.7500)

Output
Its symmetry is F-43m, No. 216. The energy of formation comes out at -41 kJ/mol of formula units.

---

The following is a DFT calculation (PBE) of crystalline CaCuNO2 at its relaxed geometry.

Lattice parameters (Å, degrees): 4.3185 4.3185 4.5173 90.00 90.00 90.00
Element x y z (fractional)
Ca (0.0000, 0.0000, 0.0000)
Cu (0.5000, 0.5000, 0.5000)
N (0.0000, 0.0000, 0.5000)
O (0.0000, 0.5000, 0.0000)
O (0.5000, 0.0000, 0.0000)

Output
Its symmetry is P4/mmm, No. 123.

---

The following is a DFT calculation (PBE) of crystalline Sr2In5Au4 at its relaxed geometry.

Lattice parameters (Å, degrees): 7.3548 7.3548 7.3548 130.66 101.56 98.51
Element x y z (fractional)
Sr (0.2164, 0.2164, 0.0000)
Sr (0.7836, 0.7836, 0.0000)
In (0.0000, 0.5000, 0.5000)
In (0.3196, 0.2502, 0.5698)
In (0.3196, 0.7498, 0.0694)
In (0.6804, 0.2502, 0.9306)
In (0.6804, 0.7498, 0.4302)
Au (0.0831, 0.7469, 0.3362)
Au (0.4107, 0.7469, 0.6638)
Au (0.5893, 0.2531, 0.3362)
Au (0.9169, 0.2531, 0.6638)

Output
Its symmetry is Immm, No. 71. The energy of formation comes out at -448 kJ/mol of formula units.

---

The following is a DFT calculation (PBE) of crystalline KPmSnO3 at its relaxed geometry.

Lattice parameters (Å, degrees): 7.1906 3.5405 10.1708 90.00 90.92 90.00
Element x y z (fractional)
K (0.1767, 0.2500, 0.2715)
K (0.8233, 0.7500, 0.7285)
Pm (0.3730, 0.2500, 0.6191)
Pm (0.6270, 0.7500, 0.3809)
Sn (0.2537, 0.7500, 0.9003)
Sn (0.7463, 0.2500, 0.0997)
O (0.1353, 0.2500, 0.7934)
O (0.3283, 0.7500, 0.4704)
O (0.4603, 0.7500, 0.7631)
O (0.5397, 0.2500, 0.2369)
O (0.6717, 0.2500, 0.5296)
O (0.8647, 0.7500, 0.2066)

Output
Its symmetry is P2_1/m, No. 11.

---

The following is a DFT calculation (PBE) of crystalline AcEuZnSi at its relaxed geometry.

Lattice parameters (Å, degrees): 5.3690 5.3690 5.3690 60.00 60.00 60.00
Element x y z (fractional)
Ac (0.0000, 0.0000, 0.0000)
Eu (0.5000, 0.5000, 0.5000)
Zn (0.2500, 0.2500, 0.2500)
Si (0.7500, 0.7500, 0.7500)

Output
Its symmetry is F-43m, No. 216.

---

The following is a DFT calculation (PBE) of crystalline MgScHg at its relaxed geometry.

Lattice parameters (Å, degrees): 4.9588 4.9588 6.0489 90.00 90.00 120.00
Element x y z (fractional)
Mg (0.0000, 0.0000, 0.0000)
Mg (0.0000, 0.0000, 0.5000)
Sc (0.3333, 0.6667, 0.2500)
Sc (0.6667, 0.3333, 0.7500)
Hg (0.3333, 0.6667, 0.7500)
Hg (0.6667, 0.3333, 0.2500)

Output
Its symmetry is P6_3/mmc, No. 194. The energy of formation comes out at -102 kJ/mol of formula units.

---

The following is a DFT calculation (PBE) of crystalline ScRe2Ni at its relaxed geometry.

Lattice parameters (Å, degrees): 5.2689 5.2689 2.6923 100.42 100.42 119.90
Element x y z (fractional)
Sc (0.0000, 0.0000, 0.0000)
Re (0.0000, 0.5000, 0.5000)
Re (0.5000, 0.0000, 0.5000)
Ni (0.5000, 0.5000, 0.0000)

Output
Its symmetry is C2/m, No. 12. The energy of formation comes out at 23 kJ/mol of formula units.

---

The following is a DFT calculation (PBE) of crystalline La3PrHo3 at its relaxed geometry.

Lattice parameters (Å, degrees): 8.3567 8.3567 8.3567 69.43 69.43 69.43
Element x y z (fractional)
La (0.1264, 0.8359, 0.2698)
La (0.1641, 0.7302, 0.8736)
La (0.2698, 0.1264, 0.8359)
La (0.7302, 0.8736, 0.1641)
La (0.8359, 0.2698, 0.1264)
La (0.8736, 0.1641, 0.7302)
Pr (0.4088, 0.4088, 0.4088)
Pr (0.5912, 0.5912, 0.5912)
Ho (0.0253, 0.4458, 0.3098)
Ho (0.3098, 0.0253, 0.4458)
Ho (0.4458, 0.3098, 0.0253)
Ho (0.5542, 0.6902, 0.9747)
Ho (0.6902, 0.9747, 0.5542)
Ho (0.9747, 0.5542, 0.6902)

Output
Its symmetry is R-3, No. 148. The energy of formation comes out at 88 kJ/mol of formula units.

---

What did we get for energy? Answer: -4.29, -4.03, -3.16, -6.30, -5.61, -3.10, -9.19, -4.63 eV/atom, in the order shown.